Entry 1:
Computed, not measured: a relaxed CsCuPdF6 crystal at the PBE-GGA level of DFT.

Cell lengths 5.617, 5.617, 6.339 Å; angles 90.00, 90.00, 120.00 degrees
Positions (direct):
Cs: 0.000 0.000 0.000
Cu: 0.333 0.667 0.500
Pd: 0.667 0.333 0.500
F: 0.378 0.002 0.668
F: 0.378 0.376 0.332
F: 0.624 0.002 0.332
F: 0.624 0.622 0.668
F: 0.998 0.376 0.668
F: 0.998 0.622 0.332

Values from the calculation:
- Crystal system: trigonal
- Energy: -36.9 eV/cell

Entry 2:
Computed, not measured: a relaxed CsCuPd2F8 crystal at the PBE-GGA level of DFT.

Cell lengths 4.991, 5.046, 8.397 Å; angles 90.17, 93.21, 97.32 degrees
Positions (direct):
Cs: 0.000 0.000 0.000
Cu: 0.000 0.000 0.500
Pd: 0.470 0.543 0.678
Pd: 0.530 0.457 0.322
F: 0.211 0.207 0.683
F: 0.225 0.703 0.520
F: 0.254 0.138 0.330
F: 0.311 0.589 0.147
F: 0.689 0.411 0.853
F: 0.746 0.862 0.670
F: 0.775 0.297 0.480
F: 0.789 0.793 0.317

Values from the calculation:
- Crystal system: triclinic
- Energy: -49.0 eV/cell

Entry 3:
Computed, not measured: a relaxed CsPmCu2F8 crystal at the PBE-GGA level of DFT.

Cell lengths 8.493, 8.493, 8.493 Å; angles 39.71, 39.71, 39.71 degrees
Positions (direct):
Cs: 0.000 0.000 0.000
Pm: 0.500 0.500 0.500
Cu: 0.249 0.249 0.249
Cu: 0.751 0.751 0.751
F: 0.111 0.465 0.759
F: 0.241 0.889 0.535
F: 0.326 0.326 0.326
F: 0.465 0.759 0.111
F: 0.535 0.241 0.889
F: 0.674 0.674 0.674
F: 0.759 0.111 0.465
F: 0.889 0.535 0.241

Values from the calculation:
- Crystal system: trigonal
- Energy: -58.2 eV/cell

Entry 4:
Computed, not measured: a relaxed CsCuPt2F crystal at the PBE-GGA level of DFT.

Cell lengths 5.263, 5.263, 4.797 Å; angles 90.00, 90.00, 90.00 degrees
Positions (direct):
Cs: 0.000 0.000 0.000
Cu: 0.500 0.500 0.500
Pt: 0.000 0.500 0.000
Pt: 0.500 0.000 0.000
F: 0.000 0.000 0.500

Values from the calculation:
- Crystal system: tetragonal
- Energy: -13.0 eV/cell

Entry 5:
Computed, not measured: a relaxed CsPuCuF6 crystal at the PBE-GGA level of DFT.

Cell lengths 8.152, 8.152, 8.152 Å; angles 124.63, 116.12, 89.51 degrees
Positions (direct):
Cs: 0.295 0.045 0.250
Cs: 0.705 0.955 0.750
Pu: 0.000 0.500 0.500
Pu: 0.500 0.500 0.000
Cu: 0.000 0.000 0.500
Cu: 0.000 0.500 0.000
F: 0.036 0.786 0.250
F: 0.050 0.396 0.218
F: 0.050 0.832 0.653
F: 0.320 0.570 0.750
F: 0.322 0.168 0.718
F: 0.322 0.604 0.153
F: 0.678 0.396 0.847
F: 0.678 0.832 0.282
F: 0.680 0.430 0.250
F: 0.950 0.168 0.347
F: 0.950 0.604 0.782
F: 0.964 0.214 0.750

Values from the calculation:
- Crystal system: orthorhombic
- Energy: -111.1 eV/cell

Entry 6:
Computed, not measured: a relaxed Cs2PuCu3F12 crystal at the PBE-GGA level of DFT.

Cell lengths 8.272, 8.272, 8.272 Å; angles 52.41, 52.41, 52.41 degrees
Positions (direct):
Cs: 0.099 0.099 0.099
Cs: 0.901 0.901 0.901
Pu: 0.500 0.500 0.500
Cu: 0.000 0.500 0.500
Cu: 0.500 0.000 0.500
Cu: 0.500 0.500 0.000
F: 0.162 0.587 0.587
F: 0.192 0.192 0.586
F: 0.192 0.586 0.192
F: 0.413 0.413 0.838
F: 0.413 0.838 0.413
F: 0.414 0.808 0.808
F: 0.586 0.192 0.192
F: 0.587 0.162 0.587
F: 0.587 0.587 0.162
F: 0.808 0.414 0.808
F: 0.808 0.808 0.414
F: 0.838 0.413 0.413

Values from the calculation:
- Crystal system: trigonal
- Energy: -93.9 eV/cell

Entry 7:
Computed, not measured: a relaxed Cs3RbCu2F9 crystal at the PBE-GGA level of DFT.

Cell lengths 6.290, 6.290, 7.990 Å; angles 90.00, 90.00, 120.00 degrees
Positions (direct):
Cs: 0.000 0.000 0.000
Cs: 0.333 0.667 0.676
Cs: 0.667 0.333 0.324
Rb: 0.000 0.000 0.500
Cu: 0.333 0.667 0.144
Cu: 0.667 0.333 0.856
F: 0.000 0.500 0.000
F: 0.188 0.377 0.285
F: 0.188 0.812 0.285
F: 0.377 0.188 0.715
F: 0.500 0.000 0.000
F: 0.500 0.500 0.000
F: 0.623 0.812 0.285
F: 0.812 0.188 0.715
F: 0.812 0.623 0.715

Values from the calculation:
- Crystal system: trigonal
- Energy: -61.3 eV/cell

Entry 8:
Computed, not measured: a relaxed Cs3RbCu2F6 crystal at the PBE-GGA level of DFT.

Cell lengths 6.813, 6.813, 8.043 Å; angles 90.00, 90.00, 120.00 degrees
Positions (direct):
Cs: 0.000 0.000 0.000
Cs: 0.333 0.667 0.719
Cs: 0.667 0.333 0.281
Rb: 0.000 0.000 0.500
Cu: 0.333 0.667 0.260
Cu: 0.667 0.333 0.740
F: 0.168 0.336 0.267
F: 0.168 0.832 0.267
F: 0.336 0.168 0.733
F: 0.664 0.832 0.267
F: 0.832 0.168 0.733
F: 0.832 0.664 0.733

Values from the calculation:
- Crystal system: trigonal
- Energy: -47.6 eV/cell

Entry 9:
Computed, not measured: a relaxed Cs2RbCuF6 crystal at the PBE-GGA level of DFT.

Cell lengths 6.558, 6.558, 6.558 Å; angles 60.00, 60.00, 60.00 degrees
Positions (direct):
Cs: 0.250 0.250 0.250
Cs: 0.750 0.750 0.750
Rb: 0.000 0.000 0.000
Cu: 0.500 0.500 0.500
F: 0.291 0.291 0.709
F: 0.291 0.709 0.291
F: 0.291 0.709 0.709
F: 0.709 0.291 0.291
F: 0.709 0.291 0.709
F: 0.709 0.709 0.291

Values from the calculation:
- Crystal system: cubic
- Energy: -41.0 eV/cell

Entry 10:
Computed, not measured: a relaxed Cs2RbCuF4 crystal at the PBE-GGA level of DFT.

Cell lengths 7.537, 7.537, 14.494 Å; angles 90.00, 90.00, 149.31 degrees
Positions (direct):
Cs: 0.133 0.867 0.543
Cs: 0.133 0.867 0.957
Cs: 0.867 0.133 0.043
Cs: 0.867 0.133 0.457
Rb: 0.353 0.647 0.750
Rb: 0.647 0.353 0.250
Cu: 0.333 0.667 0.250
Cu: 0.667 0.333 0.750
F: 0.139 0.861 0.750
F: 0.227 0.773 0.139
F: 0.227 0.773 0.361
F: 0.500 0.500 0.000
F: 0.500 0.500 0.500
F: 0.773 0.227 0.639
F: 0.773 0.227 0.861
F: 0.861 0.139 0.250

Values from the calculation:
- Crystal system: orthorhombic
- Energy: -63.3 eV/cell

Entry 11:
Computed, not measured: a relaxed Cs2RbCu2F6 crystal at the PBE-GGA level of DFT.

Cell lengths 6.784, 6.784, 7.270 Å; angles 114.91, 114.91, 57.67 degrees
Positions (direct):
Cs: 0.217 0.217 0.184
Cs: 0.783 0.783 0.816
Rb: 0.000 0.000 0.500
Cu: 0.445 0.445 0.784
Cu: 0.555 0.555 0.216
F: 0.216 0.666 0.175
F: 0.266 0.266 0.652
F: 0.334 0.784 0.825
F: 0.666 0.216 0.175
F: 0.734 0.734 0.348
F: 0.784 0.334 0.825

Values from the calculation:
- Crystal system: monoclinic
- Energy: -45.2 eV/cell

Entry 12:
Computed, not measured: a relaxed CsRb2Cu2F7 crystal at the PBE-GGA level of DFT.

Cell lengths 4.238, 4.238, 11.438 Å; angles 100.61, 100.61, 90.00 degrees
Positions (direct):
Cs: 0.000 0.000 0.000
Rb: 0.184 0.184 0.370
Rb: 0.816 0.816 0.630
Cu: 0.405 0.405 0.809
Cu: 0.595 0.595 0.191
F: 0.097 0.597 0.195
F: 0.316 0.316 0.629
F: 0.403 0.903 0.805
F: 0.500 0.500 0.000
F: 0.597 0.097 0.195
F: 0.684 0.684 0.371
F: 0.903 0.403 0.805

Values from the calculation:
- Crystal system: monoclinic
- Energy: -50.0 eV/cell

Entry 13:
Computed, not measured: a relaxed CsRbCuF4 crystal at the PBE-GGA level of DFT.

Cell lengths 7.672, 7.672, 6.080 Å; angles 90.00, 90.00, 133.35 degrees
Positions (direct):
Cs: 0.100 0.900 0.750
Cs: 0.900 0.100 0.250
Rb: 0.387 0.613 0.750
Rb: 0.613 0.387 0.250
Cu: 0.252 0.748 0.250
Cu: 0.748 0.252 0.750
F: 0.000 0.500 0.000
F: 0.000 0.500 0.500
F: 0.113 0.887 0.250
F: 0.392 0.608 0.250
F: 0.500 0.000 0.000
F: 0.500 0.000 0.500
F: 0.608 0.392 0.750
F: 0.887 0.113 0.750

Values from the calculation:
- Crystal system: orthorhombic
- Energy: -58.4 eV/cell

Entry 14:
Computed, not measured: a relaxed Cs2RbCu3F12 crystal at the PBE-GGA level of DFT.

Cell lengths 7.562, 7.562, 7.562 Å; angles 59.90, 59.90, 59.90 degrees
Positions (direct):
Cs: 0.112 0.112 0.112
Cs: 0.888 0.888 0.888
Rb: 0.500 0.500 0.500
Cu: 0.000 0.500 0.500
Cu: 0.500 0.000 0.500
Cu: 0.500 0.500 0.000
F: 0.055 0.618 0.618
F: 0.221 0.221 0.596
F: 0.221 0.596 0.221
F: 0.382 0.382 0.945
F: 0.382 0.945 0.382
F: 0.404 0.779 0.779
F: 0.596 0.221 0.221
F: 0.618 0.055 0.618
F: 0.618 0.618 0.055
F: 0.779 0.404 0.779
F: 0.779 0.779 0.404
F: 0.945 0.382 0.382

Values from the calculation:
- Crystal system: trigonal
- Energy: -72.1 eV/cell

Entry 15:
Computed, not measured: a relaxed CsCu2RhF8 crystal at the PBE-GGA level of DFT.

Cell lengths 8.981, 8.981, 8.981 Å; angles 37.44, 37.44, 37.44 degrees
Positions (direct):
Cs: 0.000 0.000 0.000
Cu: 0.248 0.248 0.248
Cu: 0.752 0.752 0.752
Rh: 0.500 0.500 0.500
F: 0.136 0.593 0.626
F: 0.321 0.321 0.321
F: 0.374 0.407 0.864
F: 0.407 0.864 0.374
F: 0.593 0.626 0.136
F: 0.626 0.136 0.593
F: 0.679 0.679 0.679
F: 0.864 0.374 0.407

Values from the calculation:
- Crystal system: trigonal
- Energy: -51.0 eV/cell

Entry 16:
Computed, not measured: a relaxed CsCuRuF6 crystal at the PBE-GGA level of DFT.

Cell lengths 7.585, 7.585, 7.585 Å; angles 122.14, 119.95, 88.21 degrees
Positions (direct):
Cs: 0.358 0.108 0.250
Cs: 0.642 0.892 0.750
Cu: 0.000 0.000 0.500
Cu: 0.000 0.500 0.000
Ru: 0.000 0.500 0.500
Ru: 0.500 0.500 0.000
F: 0.062 0.812 0.250
F: 0.076 0.422 0.258
F: 0.076 0.818 0.654
F: 0.319 0.569 0.750
F: 0.336 0.182 0.758
F: 0.336 0.578 0.154
F: 0.664 0.422 0.846
F: 0.664 0.818 0.242
F: 0.681 0.431 0.250
F: 0.924 0.182 0.346
F: 0.924 0.578 0.742
F: 0.938 0.188 0.750

Values from the calculation:
- Crystal system: orthorhombic
- Energy: -85.3 eV/cell

Entry 17:
Computed, not measured: a relaxed CsCu2SbF8 crystal at the PBE-GGA level of DFT.

Cell lengths 9.146, 9.146, 9.146 Å; angles 36.13, 36.13, 36.13 degrees
Positions (direct):
Cs: 0.000 0.000 0.000
Cu: 0.260 0.260 0.260
Cu: 0.740 0.740 0.740
Sb: 0.500 0.500 0.500
F: 0.122 0.619 0.619
F: 0.332 0.332 0.332
F: 0.381 0.381 0.878
F: 0.381 0.878 0.381
F: 0.619 0.122 0.619
F: 0.619 0.619 0.122
F: 0.668 0.668 0.668
F: 0.878 0.381 0.381

Values from the calculation:
- Crystal system: trigonal
- Energy: -51.4 eV/cell

Entry 18:
Computed, not measured: a relaxed Cs2SmCu3F12 crystal at the PBE-GGA level of DFT.

Cell lengths 7.506, 7.506, 7.506 Å; angles 60.51, 60.51, 60.51 degrees
Positions (direct):
Cs: 0.111 0.111 0.111
Cs: 0.889 0.889 0.889
Sm: 0.500 0.500 0.500
Cu: 0.000 0.500 0.500
Cu: 0.500 0.000 0.500
Cu: 0.500 0.500 0.000
F: 0.135 0.595 0.595
F: 0.203 0.203 0.584
F: 0.203 0.584 0.203
F: 0.405 0.405 0.865
F: 0.405 0.865 0.405
F: 0.416 0.797 0.797
F: 0.584 0.203 0.203
F: 0.595 0.135 0.595
F: 0.595 0.595 0.135
F: 0.797 0.416 0.797
F: 0.797 0.797 0.416
F: 0.865 0.405 0.405

Values from the calculation:
- Crystal system: trigonal
- Energy: -84.3 eV/cell

Entry 19:
Computed, not measured: a relaxed Cs2Cu3SnF12 crystal at the PBE-GGA level of DFT.

Cell lengths 8.129, 8.129, 8.129 Å; angles 52.38, 52.38, 52.38 degrees
Positions (direct):
Cs: 0.109 0.109 0.109
Cs: 0.891 0.891 0.891
Cu: 0.000 0.500 0.500
Cu: 0.500 0.000 0.500
Cu: 0.500 0.500 0.000
Sn: 0.500 0.500 0.500
F: 0.178 0.581 0.581
F: 0.184 0.184 0.580
F: 0.184 0.580 0.184
F: 0.419 0.419 0.822
F: 0.419 0.822 0.419
F: 0.420 0.816 0.816
F: 0.580 0.184 0.184
F: 0.581 0.178 0.581
F: 0.581 0.581 0.178
F: 0.816 0.420 0.816
F: 0.816 0.816 0.420
F: 0.822 0.419 0.419

Values from the calculation:
- Crystal system: trigonal
- Energy: -79.1 eV/cell

Let's list total magnetic moment in order: 0.00 2.08 2.00 0.00 4.00 1.12 3.02 0.24 2.00 0.06 1.00 2.01 1.00 0.00 2.05 2.00 0.28 3.55 2.92 μB per formula unit.
Let's list ΔE_f (raw) in order: -1721 -1560 -2452 1186 -2785 -2393 -2182 -2058 -2304 -2173 -2096 -2159 -2255 -1929 -1633 -1909 -1939 -2393 -2148 meV per atom.